16
Lattice="9.150 0.000 0.000 -4.575 7.924 0.000 0.000 0.000 6.241" Properties=species:S:1:pos:R:3 comment="In2Hg3Pb3 PBE optimized geometry" formation_enthalpy_0k_ev_per_atom=0.03 dft_energy_ev_per_atom=-2.155 total_magnetization_mub_per_atom=0.0000 pbc="T T T"
In 0.000 5.283 0.000
In 0.000 5.283 3.120
In 4.575 2.641 0.000
In 4.575 2.641 3.120
Hg -1.893 3.279 1.560
Hg -2.682 4.645 4.681
Hg 3.786 0.000 1.560
Hg 1.893 3.279 4.681
Hg 5.364 0.000 4.681
Hg 2.682 4.645 1.560
Pb -0.995 1.724 4.681
Pb -3.580 6.200 1.560
Pb 1.991 0.000 4.681
Pb 0.995 1.724 1.560
Pb 7.160 0.000 1.560
Pb 3.580 6.200 4.681